No. 1
The following is a DFT calculation (PBE) of a geometry-optimized ZnHg2Cl2 structure.

Cell lengths 9.594, 9.594, 3.767 Å; angles 90.00, 90.00, 90.00 degrees
Space group P4/mbm (No. 127)
Inequivalent atoms, fractional coordinates:
Zn1 0.000 0.000 0.000 x2
Hg1 0.097 0.403 0.500 x4
Cl1 0.233 0.267 0.000 x4

Results
- Uncorrected formation energy: -0.70 eV/f.u.
- Calculated total energy: -1.2545 eV/atom
- Energy above the lowest structure with this stoichiometry: 0 meV per atom

No. 2
The following is a DFT calculation (PBE) of a geometry-optimized ThGaGe structure.

Cell lengths 4.161, 7.920, 8.267 Å; angles 90.00, 90.00, 90.00 degrees
Space group Immm (No. 71)
Inequivalent atoms, fractional coordinates:
Th1 0.000 0.000 0.243 x4
Ga1 0.000 0.343 0.000 x4
Ge1 0.000 0.328 0.500 x4

Results
- Calculated total energy: -5.5774 eV/atom
- Energy of formation: -161 kJ/mol of formula units

No. 3
The following is a DFT calculation (PBE) of a geometry-optimized PrZrSb2 structure.

Cell lengths 4.2415, 4.2415, 22.5744 Å; angles 90.00, 90.00, 120.00 degrees
Space group R3m (No. 160, hexagonal axes)
Inequivalent atoms, fractional coordinates:
Pr1 0.0000 0.0000 0.0000 x3
Zr1 0.0000 0.0000 0.1727 x3
Sb1 0.0000 0.0000 0.4278 x3
Sb2 0.0000 0.0000 0.5798 x3

Results
- Uncorrected formation energy: -3.23 eV/f.u.
- Calculated total energy: -6.2007 eV/atom
- Energy above the lowest structure with this stoichiometry: 70 meV per atom

No. 4
The following is a DFT calculation (PBE) of a geometry-optimized Al2ReNi structure.

Cell lengths 3.009, 3.009, 5.893 Å; angles 90.00, 90.00, 90.00 degrees
Space group P4/mmm (No. 123)
Inequivalent atoms, fractional coordinates:
Al1 0.000 0.000 0.238 x2
Re1 0.500 0.500 0.500 x1
Ni1 0.500 0.500 0.000 x1

Results
- Calculated total energy: -6.7636 eV/atom
- Energy above the lowest structure with this stoichiometry: 37 meV per atom
- Energy of formation: -129 kJ/mol of formula units

No. 5
The following is a DFT calculation (PBE) of a geometry-optimized Pb5W3 structure.

Cell lengths 6.208, 6.268, 10.543 Å; angles 85.88, 86.66, 78.73 degrees
Space group P1 (No. 1)
Inequivalent atoms, fractional coordinates:
Pb1 0.000 0.000 0.000 x1
Pb2 0.040 0.519 0.761 x1
Pb3 0.243 0.702 0.485 x1
Pb4 0.378 0.166 0.483 x1
Pb5 0.468 0.863 0.811 x1
Pb6 0.516 0.337 0.923 x1
Pb7 0.763 0.906 0.302 x1
Pb8 0.821 0.399 0.401 x1
Pb9 0.897 0.527 0.067 x1
Pb10 0.948 0.064 0.685 x1
W1 0.190 0.170 0.227 x1
W2 0.220 0.662 0.219 x1
W3 0.453 0.888 0.101 x1
W4 0.517 0.342 0.190 x1
W5 0.570 0.423 0.656 x1
W6 0.706 0.757 0.582 x1

Results
- Calculated total energy: -6.4324 eV/atom
- Energy above the lowest structure with this stoichiometry: 0 meV per atom
- Energy of formation: 573 kJ/mol of formula units

No. 6
The following is a DFT calculation (PBE) of a geometry-optimized CsSr6 structure.

Cell lengths 11.234, 11.234, 11.234 Å; angles 90.00, 90.00, 90.00 degrees
Space group Im-3m (No. 229)
Inequivalent atoms, fractional coordinates:
Cs1 0.000 0.000 0.000 x2
Sr1 0.000 0.250 0.500 x12

Results
- Calculated total energy: -0.8316 eV/atom
- Energy of formation: 494 kJ/mol of formula units

No. 7
The following is a DFT calculation (PBE) of a geometry-optimized Ac2Tb12Sm5 structure.

Cell lengths 16.158, 9.383, 8.673 Å; angles 90.00, 90.91, 90.00 degrees
Space group C2/m (No. 12)
Inequivalent atoms, fractional coordinates:
Ac1 0.000 0.195 0.000 x4
Tb1 0.060 0.000 0.328 x4
Tb2 0.101 0.500 0.883 x4
Tb3 0.123 0.190 0.645 x8
Tb4 0.161 0.320 0.249 x8
Sm1 0.000 0.500 0.500 x2
Sm2 0.196 0.000 0.004 x4
Sm3 0.234 0.500 0.579 x4

Results
- Calculated total energy: -4.4439 eV/atom
- Energy above the lowest structure with this stoichiometry: 71 meV per atom
- Energy of formation: 284 kJ/mol of formula units

No. 8
The following is a DFT calculation (PBE) of a geometry-optimized Mn3Br structure.

Cell lengths 8.284, 3.004, 4.588 Å; angles 90.00, 99.52, 90.00 degrees
Space group C2/m (No. 12)
Inequivalent atoms, fractional coordinates:
Mn1 0.000 0.000 0.000 x2
Mn2 0.244 0.500 0.207 x4
Br1 0.000 0.500 0.500 x2

Results
- Uncorrected formation energy: 3.05 eV/f.u.
- Calculated total energy: -6.5325 eV/atom
- Energy above the lowest structure with this stoichiometry: 429 meV per atom

No. 9
The following is a DFT calculation (PBE) of a geometry-optimized ReTc3S structure.

Cell lengths 4.730, 4.730, 4.730 Å; angles 90.00, 90.00, 90.00 degrees
Space group Pm-3m (No. 221)
Inequivalent atoms, fractional coordinates:
Re1 0.000 0.000 0.000 x1
Tc1 0.000 0.000 0.500 x3
S1 0.500 0.500 0.500 x1

Results
- Uncorrected formation energy: 9.85 eV/f.u.
- Calculated total energy: -7.5650 eV/atom
- Energy above the lowest structure with this stoichiometry: 1172 meV per atom

No. 10
The following is a DFT calculation (PBE) of a geometry-optimized AsSBr3F6 structure.

Cell lengths 8.323, 9.644, 12.357 Å; angles 90.00, 96.23, 90.00 degrees
Space group P2_1/c (No. 14)
Inequivalent atoms, fractional coordinates:
As1 0.211 0.226 0.057 x4
S1 0.209 0.698 0.716 x4
Br1 0.210 0.595 0.287 x4
Br2 0.253 0.557 0.855 x4
Br3 0.430 0.690 0.636 x4
F1 0.022 0.227 0.487 x4
F2 0.135 0.059 0.084 x4
F3 0.150 0.210 0.681 x4
F4 0.272 0.162 0.931 x4
F5 0.290 0.107 0.528 x4
F6 0.403 0.180 0.123 x4

Results
- Uncorrected formation energy: -14.97 eV/f.u.
- Calculated total energy: -3.6359 eV/atom